The following is a DFT calculation (PBE with a Hubbard U) of a relaxed structure of Rb3Fe2F7. Values from VASP.

```
&SYSTEM
  ibrav = 0, nat = 12, ntyp = 3
/
ATOMIC_SPECIES
F 19.00 F.upf
Rb 85.47 Rb.upf
Fe 55.84 Fe.upf
CELL_PARAMETERS angstrom
4.096 0.000 0.000
0.000 4.312 0.000
0.000 -2.156 11.522
ATOMIC_POSITIONS angstrom
F 0.000 0.000 9.364
F 2.048 0.000 2.147
F 0.000 0.000 0.000
F 0.000 2.156 7.248
F 0.000 2.156 2.158
F 0.000 0.000 4.274
F 2.048 2.156 9.375
Rb 2.048 2.156 0.000
Rb 2.048 2.156 4.234
Rb 2.048 0.000 7.288
Fe 0.000 0.000 2.163
Fe 0.000 2.156 9.359
```

Its volume is 203.5 Å³/cell. Its total energy is -4.887 eV/atom.